The following is a GGA-PBE calculation of a relaxed V5Ni8Ge crystal, from Alexandria.

Lattice parameters (Å, degrees): 6.125 6.125 6.125 107.92 112.62 107.92
Positions (direct):
Ni: 0.529 0.928 0.863
Ni: 0.655 0.403 0.938
Ni: 0.399 0.335 0.471
Ni: 0.748 0.283 0.345
Ni: 0.137 0.665 0.064
Ni: 0.535 0.597 0.252
Ni: 0.936 0.072 0.601
Ni: 0.062 0.717 0.465
V: 0.500 0.000 0.500
V: 0.279 0.095 0.005
V: 0.995 0.275 0.091
V: 0.909 0.905 0.184
V: 0.816 0.725 0.721
Ge: 0.250 0.500 0.750

DFT total energy	-6.863	eV/atom